Arrangement P

Below is an optimized crystal structure of AgPdI2N, with properties calculated at the PBE level.

Unit cell a=5.7515 b=5.7515 c=4.0583 alpha=90.00 beta=90.00 gamma=90.00
With the nearest neighbours (Å) after each atom.
Space group P4/mmm (No. 123)
One atom of each set of equivalent atoms:
Ag 0.0000 0.0000 0.0000 x1  2 N 2.03
Pd 0.5000 0.5000 0.5000 x1  8 I 3.52
I 0.0000 0.5000 0.0000 x2  2 Ag 2.88
N 0.0000 0.0000 0.5000 x1  2 Ag 2.03

Summary:
* ρ: 6.0 g/cm3
* density of states at the Fermi level: 1.09 states/eV/atom
* size of the total moment: 3.10 μB per formula unit

Arrangement Q

Below is an optimized crystal structure of AgPdI2N, with properties calculated at the PBE level.

Unit cell a=5.7526 b=5.7526 c=3.7750 alpha=90.00 beta=90.00 gamma=90.00
With the nearest neighbours (Å) after each atom.
Space group P4/mmm (No. 123)
One atom of each set of equivalent atoms:
Ag 0.0000 0.0000 0.0000 x1  8 I 3.44, 2 Ag 3.78
Pd 0.5000 0.5000 0.5000 x1  2 N 1.89
I 0.0000 0.5000 0.5000 x2  2 Pd 2.88
N 0.5000 0.5000 0.0000 x1  2 Pd 1.89

Summary:
* ρ: 6.4 g/cm3
* density of states at the Fermi level: 0.32 states/eV/atom
* size of the total moment: 0.00 μB per formula unit

What should be chosen as the most stable of them? Choose arrangement Q.

Arrangement P

Below is an optimized crystal structure of AgPtI2N, with properties calculated at the PBE level.

Unit cell a=5.7857 b=5.7857 c=3.7405 alpha=90.00 beta=90.00 gamma=90.00
With the nearest neighbours (Å) after each atom.
Space group P4/mmm (No. 123)
One atom of each set of equivalent atoms:
Ag 0.0000 0.0000 0.0000 x1  8 I 3.44, 2 Ag 3.74
Pt 0.5000 0.5000 0.5000 x1  2 N 1.87
I 0.0000 0.5000 0.5000 x2  2 Pt 2.89
N 0.5000 0.5000 0.0000 x1  2 Pt 1.87

Summary:
* ρ: 7.6 g/cm3
* density of states at the Fermi level: 0.53 states/eV/atom
* size of the total moment: 0.00 μB per formula unit

Arrangement Q

Below is an optimized crystal structure of AgPtI2N, with properties calculated at the PBE level.

Unit cell a=5.7534 b=5.7534 c=3.8039 alpha=90.00 beta=90.00 gamma=90.00
With the nearest neighbours (Å) after each atom.
Space group P4/mmm (No. 123)
One atom of each set of equivalent atoms:
Ag 0.0000 0.0000 0.0000 x1  2 N 1.90
Pt 0.5000 0.5000 0.5000 x1  8 I 3.45, 2 Pt 3.80
I 0.0000 0.5000 0.0000 x2  2 Ag 2.88
N 0.0000 0.0000 0.5000 x1  2 Ag 1.90

Summary:
* ρ: 7.5 g/cm3
* density of states at the Fermi level: 1.52 states/eV/atom
* size of the total moment: 0.00 μB per formula unit

What should be chosen as the most stable of them? Choose arrangement P.